one | YHg2W | PBE-GGA | relaxed

magnetization: 0.00 μB per cell
Fermi-level density of states: 0.509 states/eV/atom
space-group type: P4/mmm (123)
ρ: 13.2 g cm⁻³

POSCAR file:
```
YHg2W
1.0
4.453 0.000 0.000
0.000 4.451 0.000
0.000 0.000 4.266
W Hg Y
1 2 1
direct
0.500 0.000 0.500
0.000 0.000 0.000
0.500 0.500 0.000
0.000 0.500 0.500
```

***

two | YHg2W | PBE-GGA | relaxed

magnetization: 0.00 μB per cell
Fermi-level density of states: 0.901 states/eV/atom
space-group type: Pmmm (47)
ρ: 13.3 g cm⁻³

POSCAR file:
```
YHg2W
1.0
-2.271 2.002 -3.027
-1.188 -2.727 -0.913
-5.956 -2.007 3.141
Hg Y W
2 1 1
direct
0.000 0.980 0.021
0.000 0.520 0.479
0.500 0.750 0.750
0.500 0.250 0.250
```

***

three | YHg2W | PBE-GGA | relaxed

magnetization: 0.00 μB per cell
Fermi-level density of states: 0.957 states/eV/atom
space-group type: R-3m (166)
ρ: 13.1 g cm⁻³

POSCAR file:
```
YHg2W
1.0
10.363 0.006 0.004
9.896 3.075 0.004
9.896 1.505 2.682
W Hg Y
1 2 1
direct
0.250 0.250 0.250
0.505 0.505 0.505
0.995 0.995 0.995
0.750 0.750 0.750
```

***

four | YHg2W | PBE-GGA | relaxed

magnetization: 0.00 μB per cell
Fermi-level density of states: 0.959 states/eV/atom
space-group type: I-4m2 (119)
ρ: 13.0 g cm⁻³

POSCAR file:
```
YHg2W
1.0
-1.500 -1.056 -5.318
-3.516 -4.334 -0.705
0.163 4.549 3.305
W Y Hg
1 1 2
direct
0.500 0.500 0.000
0.750 0.250 0.500
0.000 0.000 0.000
0.250 0.750 0.500
```

***

It comes down to two, which is 31 meV per atom more stable than the next structure.

***

one | YHg2W | PBE-GGA | relaxed

magnetization: 1.08 μB per cell
Fermi-level density of states: 1.056 states/eV/atom
space-group type: I4/mmm (139)
ρ: 13.2 g cm⁻³

POSCAR file:
```
YHg2W
1.0
5.334 0.030 -0.056
1.612 5.084 0.056
-3.441 -2.600 3.138
Y Hg W
1 2 1
direct
0.250 0.750 0.500
0.000 0.000 0.000
0.500 0.500 0.000
0.750 0.250 0.500
```

***

two | YHg2W | PBE-GGA | relaxed

magnetization: 1.01 μB per cell
Fermi-level density of states: 0.572 states/eV/atom
space-group type: Fm-3m (225)
ρ: 13.0 g cm⁻³

POSCAR file:
```
YHg2W
1.0
3.463 -3.529 -0.381
-0.951 -4.591 1.614
-0.578 -3.700 -3.249
Hg W Y
2 1 1
direct
0.250 0.250 0.250
0.750 0.750 0.750
0.500 0.500 0.500
0.000 0.000 0.000
```

***

three | YHg2W | PBE-GGA | relaxed

magnetization: 2.20 μB per cell
Fermi-level density of states: 1.096 states/eV/atom
space-group type: F-43m (216)
ρ: 12.6 g cm⁻³

POSCAR file:
```
YHg2W
1.0
5.012 0.000 0.000
2.506 4.341 0.000
2.506 1.447 4.092
Hg Y W
2 1 1
direct
0.250 0.250 0.250
0.000 0.000 0.000
0.750 0.750 0.750
0.500 0.500 0.500
```

***

four | YHg2W | PBE-GGA | relaxed

magnetization: 0.00 μB per cell
Fermi-level density of states: 0.547 states/eV/atom
space-group type: Cm (8)
ρ: 13.1 g cm⁻³

POSCAR file:
```
YHg2W
1.0
6.035 0.086 0.297
5.171 3.112 0.297
2.218 0.633 4.787
W Hg Y
1 2 1
direct
0.494 0.494 0.579
0.763 0.763 0.667
0.004 0.004 0.050
0.238 0.238 0.204
```

***

It comes down to one, which is 35 meV per atom more stable than the next structure.

***

one | YHg2W | PBE-GGA | relaxed

magnetization: 0.00 μB per cell
Fermi-level density of states: 0.469 states/eV/atom
space-group type: Cmm2 (35)
ρ: 13.0 g cm⁻³

POSCAR file:
```
YHg2W
1.0
-2.522 -1.556 0.724
1.682 -2.529 -0.296
2.292 0.471 8.998
Hg W Y
2 1 1
direct
0.500 0.500 0.266
0.000 0.000 0.004
0.000 0.000 0.494
0.500 0.500 0.737
```

***

two | YHg2W | PBE-GGA | relaxed

magnetization: 0.00 μB per cell
Fermi-level density of states: 0.497 states/eV/atom
space-group type: R3m (160)
ρ: 12.4 g cm⁻³

POSCAR file:
```
YHg2W
1.0
9.814 -0.010 -0.006
9.267 3.228 -0.006
9.267 1.563 2.824
Hg W Y
2 1 1
direct
0.246 0.246 0.246
0.998 0.998 0.998
0.501 0.501 0.501
0.754 0.754 0.754
```

***

It comes down to one, which is 109 meV per atom more stable than the next structure.